A plane-wave DFT calculation with PBE was carried out for crystalline CsBi3Sb3 at its relaxed geometry.

Computed properties:
Raw total energy ... -49.54 eV for the cell shown
E_form (uncorrected) ... 0.013 eV per atom
Symmetry ... Pm-3n

a b c (Å): 8.7594 8.7594 8.7594
angles (deg): 90.00 90.00 90.00
Positions (direct):
Cs 0.0000 0.0000 0.0000
Cs 0.5000 0.5000 0.5000
Bi 0.0000 0.2500 0.5000
Bi 0.0000 0.7500 0.5000
Bi 0.2500 0.5000 0.0000
Bi 0.5000 0.0000 0.2500
Bi 0.5000 0.0000 0.7500
Bi 0.7500 0.5000 0.0000
Sb 0.0000 0.5000 0.2500
Sb 0.0000 0.5000 0.7500
Sb 0.2500 0.0000 0.5000
Sb 0.5000 0.2500 0.0000
Sb 0.5000 0.7500 0.0000
Sb 0.7500 0.0000 0.5000

A plane-wave DFT calculation with PBE was carried out for crystalline Sb2WCl at its relaxed geometry.

Computed properties:
Raw total energy ... -19.91 eV for the cell shown
E_form (uncorrected) ... 0.782 eV per atom
Symmetry ... F-43m

a b c (Å): 4.8907 4.8907 4.8907
angles (deg): 60.00 60.00 60.00
Positions (direct):
Sb 0.0000 0.0000 0.0000
Sb 0.2500 0.2500 0.2500
W 0.7500 0.7500 0.7500
Cl 0.5000 0.5000 0.5000

A plane-wave DFT calculation with PBE was carried out for crystalline Ni2AgPd6 at its relaxed geometry.

Computed properties:
Raw total energy ... -44.84 eV for the cell shown
Formation energy ... 0.081 eV/atom
Symmetry ... P-6m2

a b c (Å): 2.7659 2.7659 20.4343
angles (deg): 90.00 90.00 120.00
Positions (direct):
Ni 0.0000 0.0000 0.1654
Ni 0.0000 0.0000 0.8346
Ag 0.6667 0.3333 0.5000
Pd 0.0000 0.0000 0.3819
Pd 0.0000 0.0000 0.6181
Pd 0.6667 0.3333 0.0649
Pd 0.6667 0.3333 0.2668
Pd 0.6667 0.3333 0.7332
Pd 0.6667 0.3333 0.9351

A plane-wave DFT calculation with PBE was carried out for crystalline NaUTlF6 at its relaxed geometry.

Computed properties:
Raw total energy ... -107.22 eV for the cell shown
E_form (uncorrected) ... -3.045 eV per atom
Symmetry ... P-31c

a b c (Å): 6.1976 6.1976 11.2927
angles (deg): 90.00 90.00 120.00
Positions (direct):
Na 0.3333 0.6667 0.2500
Na 0.6667 0.3333 0.7500
U 0.3333 0.6667 0.7500
U 0.6667 0.3333 0.2500
Tl 0.0000 0.0000 0.0000
Tl 0.0000 0.0000 0.5000
F 0.0215 0.3817 0.6467
F 0.0215 0.6398 0.8533
F 0.3602 0.3817 0.8533
F 0.3602 0.9785 0.6467
F 0.3817 0.0215 0.1467
F 0.3817 0.3602 0.3533
F 0.6183 0.6398 0.6467
F 0.6183 0.9785 0.8533
F 0.6398 0.0215 0.3533
F 0.6398 0.6183 0.1467
F 0.9785 0.3602 0.1467
F 0.9785 0.6183 0.3533